VASP calculation (PBE) on crystalline Ta5Ir4 at its relaxed geometry.

Geometry as CIF:
```
data_Ta5Ir4
_chemical_formula_sum 'Ta10 Ir8'
_symmetry_space_group_name_H-M 'P 1'
_symmetry_Int_Tables_number 1
_symmetry_space_group_name_Hall 'P 1'
_cell_length_a 8.164
_cell_length_b 8.164
_cell_length_c 5.286
_cell_angle_alpha 90.00
_cell_angle_beta 90.00
_cell_angle_gamma 60.00
loop_
_atom_site_label
_atom_site_fract_x
_atom_site_fract_y
_atom_site_fract_z
Ta1 0.000 0.713 0.750
Ta2 0.000 0.287 0.250
Ta3 0.713 0.000 0.250
Ta4 0.287 0.000 0.750
Ta5 0.667 0.667 0.500
Ta6 0.333 0.333 0.000
Ta7 0.713 0.287 0.750
Ta8 0.667 0.667 0.000
Ta9 0.333 0.333 0.500
Ta10 0.287 0.713 0.250
Ir1 0.000 0.393 0.750
Ir2 0.000 0.000 0.500
Ir3 0.607 0.393 0.250
Ir4 0.000 0.607 0.250
Ir5 0.393 0.000 0.250
Ir6 0.607 0.000 0.750
Ir7 0.000 0.000 0.000
Ir8 0.393 0.607 0.750
```

Its space group is P6_3/mcm (193). The calculation puts the density of states at the Fermi level at 10.02 states/eV/f.u. The density comes out at 18.22 g/cm3. The total energy is -10.914 eV per atom. The calculation puts the total magnetic moment at 0.000 μB/f.u. The formation energy from the elements is -0.391 eV/atom. The distance to the lowest polymorph of the same formula is 0 meV/atom.